[1]
The following is a DFT calculation (PBE-GGA) of an optimized crystal structure of Eu2LuAl.

Energy of formation from the pure elements: -0.02 eV per atom
Spin magnetization: 15.2 μB per formula unit
Relative energy among the computed polymorphs: 28.4 meV/atom

Cell lengths 3.7083, 3.7083, 8.9701 Å; angles 90.00, 90.00, 90.00 degrees
Fractional coordinates of all 4 atoms:
Eu  0.0000  0.0000  0.2126
Eu  0.0000  0.0000  0.7874
Lu  0.5000  0.5000  0.5000
Al  0.5000  0.5000  0.0000

[2]
The following is a DFT calculation (PBE-GGA) of an optimized crystal structure of LiLa2Br.

Uncorrected formation energy: 0.0310 eV per atom
Spin magnetization: 0.0 μB per formula unit
Relative energy among the computed polymorphs: 581.3 meV/atom

Cell lengths 7.6506, 7.6506, 7.6506 Å; angles 90.00, 90.00, 90.00 degrees
Fractional coordinates of all 16 atoms:
Li  0.0000  0.0000  0.0000
Li  0.0000  0.5000  0.5000
Li  0.5000  0.0000  0.5000
Li  0.5000  0.5000  0.0000
La  0.0000  0.0000  0.5000
La  0.0000  0.5000  0.0000
La  0.2500  0.2500  0.2500
La  0.2500  0.7500  0.7500
La  0.5000  0.0000  0.0000
La  0.5000  0.5000  0.5000
La  0.7500  0.2500  0.7500
La  0.7500  0.7500  0.2500
Br  0.2500  0.2500  0.7500
Br  0.2500  0.7500  0.2500
Br  0.7500  0.2500  0.2500
Br  0.7500  0.7500  0.7500

[3]
The following is a DFT calculation (PBE-GGA) of an optimized crystal structure of Li4CaZr.

Energy of formation from the pure elements: 0.28 eV per atom
Spin magnetization: 0.1 μB per formula unit

Cell lengths 5.7507, 5.7507, 5.7507 Å; angles 60.00, 60.00, 60.00 degrees
Fractional coordinates of all 6 atoms:
Li  0.1232  0.1232  0.1232
Li  0.1232  0.1232  0.6304
Li  0.1232  0.6304  0.1232
Li  0.6304  0.1232  0.1232
Ca  0.5000  0.5000  0.5000
Zr  0.7500  0.7500  0.7500

[4]
The following is a DFT calculation (PBE-GGA) of an optimized crystal structure of AcZn2Ir.

Energy of formation from the pure elements: -0.45 eV per atom
Spin magnetization: 0.0 μB per formula unit
Relative energy among the computed polymorphs: 0.0 meV/atom

Cell lengths 4.1888, 19.5869, 4.2948 Å; angles 90.00, 90.00, 90.00 degrees
Fractional coordinates of all 16 atoms:
Ac  0.0000  0.1144  0.2500
Ac  0.0000  0.8856  0.7500
Ac  0.5000  0.3856  0.7500
Ac  0.5000  0.6144  0.2500
Zn  0.0000  0.2504  0.7500
Zn  0.0000  0.4635  0.2500
Zn  0.0000  0.5365  0.7500
Zn  0.0000  0.7496  0.2500
Zn  0.5000  0.0365  0.7500
Zn  0.5000  0.2496  0.2500
Zn  0.5000  0.7504  0.7500
Zn  0.5000  0.9635  0.2500
Ir  0.0000  0.3306  0.2500
Ir  0.0000  0.6694  0.7500
Ir  0.5000  0.1694  0.7500
Ir  0.5000  0.8306  0.2500

[5]
The following is a DFT calculation (PBE-GGA) of an optimized crystal structure of HfScAg.

Energy of formation from the pure elements: 1.53 eV per atom
Spin magnetization: 0.7 μB per formula unit
Relative energy among the computed polymorphs: 1670.9 meV/atom

Cell lengths 4.3795, 4.3795, 10.7419 Å; angles 90.00, 90.00, 120.00 degrees
Fractional coordinates of all 6 atoms:
Hf  0.0000  0.0000  0.0000
Hf  0.0000  0.0000  0.5000
Sc  0.0000  0.0000  0.2500
Sc  0.0000  0.0000  0.7500
Ag  0.3333  0.6667  0.2500
Ag  0.6667  0.3333  0.7500

[6]
The following is a DFT calculation (PBE-GGA) of an optimized crystal structure of PrClF.

Uncorrected formation energy: -2.6400 eV per atom
Spin magnetization: 0.0 μB per formula unit
Relative energy among the computed polymorphs: 0.0 meV/atom

Cell lengths 3.4988, 4.1873, 8.1258 Å; angles 90.00, 90.00, 90.00 degrees
Fractional coordinates of all 6 atoms:
Pr  0.2500  0.2500  0.2097
Pr  0.7500  0.7500  0.7903
Cl  0.2500  0.2500  0.6323
Cl  0.7500  0.7500  0.3677
F  0.2500  0.7500  0.0412
F  0.7500  0.2500  0.9588

[7]
The following is a DFT calculation (PBE-GGA) of an optimized crystal structure of Zn3InAg6.

Energy of formation from the pure elements: 0.03 eV per atom
Spin magnetization: 0.0 μB per formula unit
Relative energy among the computed polymorphs: 53.7 meV/atom

Cell lengths 7.8765, 7.8765, 6.0453 Å; angles 90.00, 90.00, 104.17 degrees
Fractional coordinates of all 20 atoms:
Zn  0.0011  0.9989  0.5000
Zn  0.2398  0.4985  0.9360
Zn  0.4985  0.2398  0.4360
Zn  0.5015  0.7602  0.9360
Zn  0.7602  0.5015  0.4360
Zn  0.9989  0.0011  0.0000
In  0.2238  0.7762  0.2814
In  0.7762  0.2238  0.7814
Ag  0.0646  0.4610  0.5512
Ag  0.1878  0.8122  0.7623
Ag  0.2021  0.2550  0.2445
Ag  0.2550  0.2021  0.7445
Ag  0.4438  0.5562  0.5408
Ag  0.4610  0.0646  0.0512
Ag  0.5390  0.9354  0.5512
Ag  0.5562  0.4438  0.0408
Ag  0.7450  0.7979  0.2445
Ag  0.7979  0.7450  0.7445
Ag  0.8122  0.1878  0.2623
Ag  0.9354  0.5390  0.0512

[8]
The following is a DFT calculation (PBE-GGA) of an optimized crystal structure of Ba8P4Br3.

Uncorrected formation energy: -1.3419 eV per atom
Spin magnetization: 1.0 μB per formula unit

Cell lengths 9.4624, 9.4624, 9.4007 Å; angles 119.55, 119.55, 90.85 degrees
Fractional coordinates of all 15 atoms:
Ba  0.2184  0.2184  0.4667
Ba  0.2364  0.2364  0.9836
Ba  0.2365  0.7635  0.0000
Ba  0.2371  0.7629  0.5000
Ba  0.7635  0.2365  0.0000
Ba  0.7629  0.2371  0.5000
Ba  0.7636  0.7636  0.0164
Ba  0.7816  0.7816  0.5333
P  0.0000  0.0000  0.0000
P  0.0000  0.0000  0.5000
P  0.0000  0.5000  0.0000
P  0.5000  0.0000  0.0000
Br  0.0000  0.5000  0.5000
Br  0.5000  0.0000  0.5000
Br  0.5000  0.5000  0.5000